1.
Cr5W | PBE | optimized geometry

Output
Polymorph energy (0 for the lowest one)   0 meV per atom

extended XYZ file:
```
6
Lattice="2.9361 0.0000 0.0000 0.0000 4.1490 0.0000 0.0000 -2.0745 6.2006" Properties=species:S:1:pos:R:3 pbc="T T T"
Cr 0.0000 2.0745 2.0994
Cr 0.0000 0.0000 4.1013
Cr 1.4680 2.0745 0.0000
Cr 1.4680 0.0000 2.1256
Cr 1.4680 2.0745 4.0750
W 0.0000 0.0000 0.0000
```

=====

2.
ScRu3 | PBE | optimized geometry

Output
Electronic total energy   -6.1135 eV per atom

extended XYZ file:
```
4
Lattice="-1.8913 -3.6894 2.2724 4.3263 -1.7461 0.7659 0.2416 2.3858 4.0746" Properties=species:S:1:pos:R:3 pbc="T T T"
Ru 0.1208 1.1929 2.0373
Ru 2.1632 -0.8731 0.3829
Ru -0.9457 -1.8447 1.1362
Sc 0.0000 0.0000 0.0000
```

=====

3.
LiSiRh3 | PBE | optimized geometry

Output
Raw formation energy   99.1 meV/atom
Polymorph energy (0 for the lowest one)   0 meV per atom

extended XYZ file:
```
5
Lattice="4.4249 0.0000 0.0000 0.0000 4.4249 0.0000 0.0000 0.0000 4.4249" Properties=species:S:1:pos:R:3 pbc="T T T"
Si 0.0000 0.0000 0.0000
Rh 0.0000 2.2124 0.0000
Rh 0.0000 0.0000 2.2124
Rh 2.2124 0.0000 0.0000
Li 2.2124 2.2124 2.2124
```

=====

Calculated total magnetic moment (Bohr magnetons per cell), listed in the same order as above: 0.14, 4.88, 0.00